# 1
KSi2Rh2 after structural relaxation. Source: Alexandria via LeMat-Bulk, functional GGA-PBE.

a b c (Å): 7.622 7.622 2.759
angles (deg): 90.00 90.00 90.00
Space group P4/mbm (No. 127)
Inequivalent atoms, fractional coordinates:
K1 0.000 0.000 0.000 [2 per cell]
Si1 0.142 0.358 0.500 [4 per cell]
Rh1 0.139 0.639 0.000 [4 per cell]

Results
ΔE_f (raw): -290 meV/atom
energy above the most stable polymorph in this dataset: 259 meV/atom
size of the total moment: 0.000 Bohr magnetons per cell
theoretical density: 6.237 g cm⁻³

***

# 2
NiTe2RuI after structural relaxation. Source: Alexandria via LeMat-Bulk, functional GGA-PBE.

a b c (Å): 5.087 5.087 5.663
angles (deg): 90.00 90.00 90.00
Space group P4/mmm (No. 123)
Inequivalent atoms, fractional coordinates:
Ni1 0.000 0.000 0.000 [1 per cell]
Te1 0.000 0.500 0.500 [2 per cell]
Ru1 0.500 0.500 0.500 [1 per cell]
I1 0.500 0.500 0.000 [1 per cell]

Results
ΔE_f (raw): 926 meV/atom
energy above the most stable polymorph in this dataset: 0 meV/atom
size of the total moment: 1.002 Bohr magnetons per cell
theoretical density: 6.141 g cm⁻³

***

# 3
PmPrSm2 after structural relaxation. Source: Alexandria via LeMat-Bulk, functional GGA-PBE.

a b c (Å): 5.169 5.169 5.160
angles (deg): 90.00 90.00 90.00
Space group P4/mmm (No. 123)
Inequivalent atoms, fractional coordinates:
Pm1 0.000 0.000 0.000 [1 per cell]
Pr1 0.500 0.500 0.000 [1 per cell]
Sm1 0.000 0.500 0.500 [2 per cell]

Results
energy above the most stable polymorph in this dataset: 18 meV/atom
size of the total moment: 0.000 Bohr magnetons per cell
theoretical density: 7.065 g cm⁻³

***

# 4
CsPuPdI6 after structural relaxation. Source: Alexandria via LeMat-Bulk, functional GGA-PBE.

a b c (Å): 7.6795 7.6795 8.8216
angles (deg): 90.00 90.00 120.00
Space group P312 (No. 149)
Inequivalent atoms, fractional coordinates:
Cs1 0.0000 0.0000 0.0000 [1 per cell]
Pu1 0.3333 0.6667 0.5000 [1 per cell]
Pd1 0.6667 0.3333 0.5000 [1 per cell]
I1 0.3725 0.0180 0.6921 [6 per cell]

Results
ΔE_f (raw): -821 meV/atom
size of the total moment: 2.881 Bohr magnetons per cell
theoretical density: 4.588 g cm⁻³

***

# 5
GdGaCo2 after structural relaxation. Source: Alexandria via LeMat-Bulk, functional GGA-PBE.

a b c (Å): 4.1578 4.1578 14.0216
angles (deg): 90.00 90.00 120.00
Space group R-3m (No. 166, hexagonal axes)
Inequivalent atoms, fractional coordinates:
Gd1 0.0000 0.0000 0.0000 [3 per cell]
Ga1 0.0000 0.0000 0.5000 [3 per cell]
Co1 0.0000 0.0000 0.1894 [6 per cell]

Results
E_tot: -97.5 eV/cell
size of the total moment: 17.470 Bohr magnetons per cell
theoretical density: 8.183 g cm⁻³

***

# 6
ZnFeAg after structural relaxation. Source: Alexandria via LeMat-Bulk, functional GGA-PBE.

a b c (Å): 2.7556 2.7556 6.7390
angles (deg): 90.00 90.00 120.00
Space group P3m1 (No. 156)
Inequivalent atoms, fractional coordinates:
Zn1 0.0000 0.0000 0.0000 [1 per cell]
Fe1 0.3333 0.6667 0.6932 [1 per cell]
Ag1 0.6667 0.3333 0.3509 [1 per cell]

Results
energy above the most stable polymorph in this dataset: 181 meV/atom
size of the total moment: 2.452 Bohr magnetons per cell
theoretical density: 8.585 g cm⁻³

***

# 7
Pu2NpBi5 after structural relaxation. Source: Alexandria via LeMat-Bulk, functional GGA-PBE.

a b c (Å): 8.467 12.168 4.807
angles (deg): 90.00 90.00 90.00
Space group Pbam (No. 55)
Inequivalent atoms, fractional coordinates:
Pu1 0.092 0.180 0.000 [4 per cell]
Np1 0.000 0.500 0.500 [2 per cell]
Bi1 0.000 0.000 0.500 [2 per cell]
Bi2 0.155 0.732 0.500 [4 per cell]
Bi3 0.228 0.438 0.000 [4 per cell]

Results
E_tot: -123.6 eV/cell
size of the total moment: 29.911 Bohr magnetons per cell
theoretical density: 11.869 g cm⁻³

***

# 8
BaZn after structural relaxation. Source: Alexandria via LeMat-Bulk, functional GGA-PBE.

a b c (Å): 4.7035 4.7035 25.2214
angles (deg): 90.00 90.00 120.00
Space group R-3m (No. 166, hexagonal axes)
Inequivalent atoms, fractional coordinates:
Ba1 0.0000 0.0000 0.0840 [6 per cell]
Zn1 0.0000 0.0000 0.3336 [6 per cell]

Results
E_tot: -21.4 eV/cell
size of the total moment: 0.000 Bohr magnetons per cell
theoretical density: 4.180 g cm⁻³